Record 1
Pr4SmHo15: relaxed, PBE-GGA.

POSCAR file:
```
Pr4SmHo15
1.0
5.053 0.000 0.000
0.000 5.053 0.000
0.000 0.000 25.126
Pr Sm Ho
4 1 15
Cartesian
0.000 0.000 5.018 Pr
0.000 0.000 10.048 Pr
0.000 0.000 15.078 Pr
0.000 0.000 20.108 Pr
0.000 0.000 0.000 Sm
2.526 2.526 0.000 Ho
2.526 2.526 5.011 Ho
2.526 2.526 10.049 Ho
2.526 2.526 15.077 Ho
2.526 2.526 20.115 Ho
2.526 0.000 2.491 Ho
2.526 0.000 7.532 Ho
2.526 0.000 12.563 Ho
2.526 0.000 17.594 Ho
2.526 0.000 22.635 Ho
0.000 2.526 2.491 Ho
0.000 2.526 7.532 Ho
0.000 2.526 12.563 Ho
0.000 2.526 17.594 Ho
0.000 2.526 22.635 Ho
```

Values from the calculation:
The symmetry is No. 123. Its electronic total energy is -0.3383 Ry per atom. As for the formation energy: 0.5 kcal/mol of atoms. The value obtained for the density of states at the Fermi level is 1.34 states/eV per atom. The value obtained for the magnetic moment is 0.000 μB per formula unit. The calculation puts the volume at 32.08 Å³/atom.



Record 2
Pr2Sm7Ho: relaxed, PBE-GGA.

POSCAR file:
```
Pr2Sm7Ho
1.0
-2.205 2.889 5.140
-6.160 5.283 -0.463
-1.187 -8.555 4.278
Pr Sm Ho
2 7 1
Cartesian
-5.489 1.493 4.525 Pr
-4.063 -1.877 4.430 Pr
-8.248 2.213 6.778 Sm
-1.304 -2.596 2.176 Sm
-6.815 -1.139 6.693 Sm
-2.737 0.755 2.262 Sm
-6.928 4.846 4.602 Sm
-2.624 -5.230 4.353 Sm
-4.183 4.086 2.338 Sm
0.000 0.000 0.000 Ho
```

Values from the calculation:
The symmetry is No. 2. Its electronic total energy is -0.3456 Ry per atom. As for the formation energy: 0.3 kcal/mol of atoms. The energy above the most stable polymorph in this dataset comes out at 0 meV per atom. The value obtained for the density of states at the Fermi level is 1.39 states/eV per atom. The value obtained for the magnetic moment is 0.000 μB per formula unit. The calculation puts the volume at 33.97 Å³/atom.



Record 3
PrSm10Ho4: relaxed, PBE-GGA.

POSCAR file:
```
PrSm10Ho4
1.0
-8.141 -6.859 -1.942
-0.055 -8.787 1.119
-6.356 -2.578 5.605
Pr Sm Ho
1 10 4
Cartesian
0.000 0.000 0.000 Pr
-5.241 -7.398 2.876 Sm
-11.490 -10.193 4.020 Sm
-9.892 -8.302 0.200 Sm
-7.440 -12.265 3.918 Sm
-8.422 -12.549 -0.516 Sm
-3.061 -8.032 0.762 Sm
-9.311 -10.827 1.906 Sm
-6.129 -5.675 5.298 Sm
-7.112 -5.960 0.864 Sm
-4.660 -9.923 4.581 Sm
-5.988 -10.221 0.910 Ho
-10.607 -13.887 3.070 Ho
-3.945 -4.338 1.712 Ho
-8.563 -8.004 3.872 Ho
```

Values from the calculation:
The symmetry is No. 87. Its electronic total energy is -0.3112 Ry per atom. As for the formation energy: 10.4 kcal/mol of atoms. The value obtained for the density of states at the Fermi level is 1.71 states/eV per atom. The value obtained for the magnetic moment is 0.000 μB per formula unit. The calculation puts the volume at 35.49 Å³/atom.



Record 4
Pr3Sm3Ho8: relaxed, PBE-GGA.

POSCAR file:
```
Pr3Sm3Ho8
1.0
5.578 0.001 1.123
2.758 9.323 0.727
1.068 -3.242 9.132
Pr Sm Ho
3 3 8
Cartesian
2.789 0.001 0.561 Pr
2.443 6.980 2.294 Pr
1.383 -0.899 7.565 Pr
4.702 3.041 5.491 Sm
5.231 1.218 2.872 Sm
4.172 4.864 8.110 Sm
4.615 -0.703 5.926 Ho
4.789 6.785 5.056 Ho
5.357 4.819 2.232 Ho
4.046 1.263 8.750 Ho
7.383 5.296 6.584 Ho
2.020 0.786 4.398 Ho
7.037 2.725 8.304 Ho
2.366 3.357 2.678 Ho
```

Values from the calculation:
The symmetry is No. 71. Its electronic total energy is -0.3340 Ry per atom. As for the formation energy: 2.5 kcal/mol of atoms. The value obtained for the density of states at the Fermi level is 1.53 states/eV per atom. The value obtained for the magnetic moment is 0.000 μB per formula unit. The calculation puts the volume at 33.34 Å³/atom.



Record 5
Pr6SmHo12: relaxed, PBE-GGA.

POSCAR file:
```
Pr6SmHo12
1.0
-3.133 6.973 -4.293
-5.663 -6.015 -2.935
-3.631 1.527 7.832
Pr Sm Ho
6 1 12
Cartesian
-8.050 5.590 2.180 Pr
-9.182 1.390 -3.816 Pr
-9.460 -1.643 2.936 Pr
-3.245 1.095 4.421 Pr
-4.377 -3.105 -1.575 Pr
-2.968 4.128 -2.331 Pr
0.000 0.000 0.000 Sm
-5.566 4.566 -0.045 Ho
-2.865 2.536 1.021 Ho
-3.423 0.464 -1.937 Ho
-8.867 3.516 -0.790 Ho
-9.004 2.020 2.542 Ho
-9.562 -0.052 -0.417 Ho
-6.734 -0.688 -2.453 Ho
-6.341 -0.152 3.406 Ho
-6.861 -2.082 0.650 Ho
-5.694 3.172 3.058 Ho
-6.086 2.636 -2.801 Ho
-3.560 -1.032 1.395 Ho
```

Values from the calculation:
The symmetry is No. 166. Its electronic total energy is -0.3258 Ry per atom. As for the formation energy: 5.0 kcal/mol of atoms. The energy above the most stable polymorph in this dataset comes out at 96 meV per atom. The value obtained for the density of states at the Fermi level is 1.62 states/eV per atom. The value obtained for the magnetic moment is 0.006 μB per formula unit. The calculation puts the volume at 34.11 Å³/atom.



Record 6
Pr5Sm4Ho2: relaxed, PBE-GGA.

POSCAR file:
```
Pr5Sm4Ho2
1.0
1.824 12.140 0.585
-1.824 12.140 0.585
0.000 3.115 8.874
Pr Sm Ho
5 4 2
Cartesian
0.000 4.571 5.218 Pr
0.000 22.824 4.827 Pr
0.000 6.136 8.407 Pr
0.000 12.140 0.585 Pr
0.000 21.258 1.637 Pr
0.000 17.178 2.361 Sm
0.000 25.430 7.348 Sm
0.000 10.217 7.684 Sm
0.000 1.964 2.697 Sm
0.000 7.560 3.374 Ho
0.000 19.835 6.670 Ho
```

Values from the calculation:
The symmetry is No. 12. Its electronic total energy is -0.3381 Ry per atom. As for the formation energy: 2.8 kcal/mol of atoms. The energy above the most stable polymorph in this dataset comes out at 0 meV per atom. The value obtained for the density of states at the Fermi level is 1.45 states/eV per atom. The value obtained for the magnetic moment is 0.000 μB per formula unit. The calculation puts the volume at 35.13 Å³/atom.



Record 7
Pr2Sm12Ho5: relaxed, PBE-GGA.

POSCAR file:
```
Pr2Sm12Ho5
1.0
-1.132 10.014 -5.900
1.246 -8.229 -2.650
-7.911 -3.208 -3.928
Pr Sm Ho
2 12 5
Cartesian
-0.821 7.266 -4.281 Pr
-0.310 2.748 -1.619 Pr
-0.307 -0.948 -1.551 Sm
-5.645 -7.079 -5.054 Sm
-6.221 -1.985 -8.056 Sm
-2.516 -6.077 -4.729 Sm
-3.016 -1.655 -7.334 Sm
-5.602 -5.223 -7.792 Sm
-2.195 3.801 -4.686 Sm
-5.281 4.654 -7.748 Sm
-4.781 0.232 -5.143 Sm
-2.152 5.656 -7.423 Sm
-1.576 0.562 -4.422 Sm
-7.490 -0.475 -10.927 Sm
-4.964 -3.389 -4.799 Ho
-1.431 -2.749 -4.392 Ho
-3.956 -1.604 -1.964 Ho
-6.366 1.327 -8.085 Ho
-2.832 1.966 -7.678 Ho
```

Values from the calculation:
The symmetry is No. 12. Its electronic total energy is -0.3362 Ry per atom. As for the formation energy: 2.6 kcal/mol of atoms. The energy above the most stable polymorph in this dataset comes out at 0 meV per atom. The value obtained for the density of states at the Fermi level is 1.48 states/eV per atom. The value obtained for the magnetic moment is 0.000 μB per formula unit. The calculation puts the volume at 33.67 Å³/atom.



Record 8
PrSmHo4: relaxed, PBE-GGA.

POSCAR file:
```
PrSmHo4
1.0
6.619 0.000 0.000
3.309 5.732 0.000
3.309 1.911 5.404
Pr Ho Sm
1 4 1
Cartesian
3.309 1.911 1.351 Pr
6.619 3.821 0.670 Ho
6.619 1.905 3.380 Ho
8.279 4.780 3.380 Ho
4.959 4.780 3.380 Ho
0.000 0.000 0.000 Sm
```

Values from the calculation:
The symmetry is No. 216. Its electronic total energy is -0.3197 Ry per atom. As for the formation energy: 6.6 kcal/mol of atoms. The energy above the most stable polymorph in this dataset comes out at 265 meV per atom. The value obtained for the density of states at the Fermi level is 2.56 states/eV per atom. The value obtained for the magnetic moment is 2.107 μB per formula unit. The calculation puts the volume at 34.18 Å³/atom.



Record 9
PrSm3Ho12: relaxed, PBE-GGA.

POSCAR file:
```
PrSm3Ho12
1.0
5.025 0.000 0.000
0.000 5.025 0.000
0.000 0.000 20.117
Pr Sm Ho
1 3 12
Cartesian
0.000 0.000 0.000 Pr
0.000 0.000 5.041 Sm
0.000 0.000 10.059 Sm
0.000 0.000 15.076 Sm
2.513 2.513 0.000 Ho
2.513 2.513 5.046 Ho
2.513 2.513 10.059 Ho
2.513 2.513 15.071 Ho
2.513 0.000 2.537 Ho
2.513 0.000 7.551 Ho
2.513 0.000 12.566 Ho
2.513 0.000 17.580 Ho
0.000 2.513 2.537 Ho
0.000 2.513 7.551 Ho
0.000 2.513 12.566 Ho
0.000 2.513 17.580 Ho
```

Values from the calculation:
The symmetry is No. 123. Its electronic total energy is -0.3378 Ry per atom. As for the formation energy: 0.5 kcal/mol of atoms. The value obtained for the density of states at the Fermi level is 1.36 states/eV per atom. The value obtained for the magnetic moment is 0.000 μB per formula unit. The calculation puts the volume at 31.75 Å³/atom.